{"formula": "NdSm6Y4", "functional": "GGA-PBE", "state": "optimized geometry", "lattice_angstrom": [[-8.354, 5.280, 0.856], [3.886, -7.555, -5.121], [4.782, -7.640, 4.144]], "species": ["Sm", "Sm", "Sm", "Sm", "Sm", "Sm", "Y", "Y", "Y", "Y", "Nd"], "fractional_positions": [[0.500, 0.000, 0.500], [0.000, 0.454, 0.810], [0.000, 0.810, 0.454], [0.357, 0.546, 0.546], [0.500, 0.500, 0.000], [0.643, 0.190, 0.190], [0.627, 0.991, 0.991], [0.000, 0.009, 0.637], [0.000, 0.637, 0.009], [0.373, 0.363, 0.363], [0.000, 0.000, 0.000]], "polymorph_energy_ev_per_atom": 0.000, "crystal_system": "tetragonal", "total_magnetization_mub_per_fu": 0.0, "space_group": "I-42m (121)", "dos_at_fermi_per_ev_fu": 18.19, "e_form_ev_per_atom": 0.29}